# 1
Below is a relaxed La3Si4Tc2 crystal, with properties calculated at the PBE level.

Results
Uncorrected energy, eV/atom: -6.976
Formation energy (no corrections), eV per atom: -0.62

Unit cell a=11.422 b=4.284 c=8.413 alpha=90.00 beta=108.10 gamma=90.00
Space group C2/m (No. 12)
Symmetry-distinct sites (fractional):
La: 0.000 0.000 0.000 x2
La: 0.114 0.500 0.695 x4
Si: 0.116 0.000 0.405 x4
Si: 0.219 0.500 0.077 x4
Tc: 0.193 0.500 0.354 x4

=====

# 2
Below is a relaxed Ac4Sm10Er crystal, with properties calculated at the PBE level.

Results
Energy relative to the elements, eV per atom: 0.252
Uncorrected energy, eV/atom: -4.294

Unit cell a=11.716 b=11.716 c=8.232 alpha=90.00 beta=90.00 gamma=90.00
Space group I4/mmm (No. 139)
Symmetry-distinct sites (fractional):
Ac: 0.227 0.227 0.000 x8
Sm: 0.000 0.207 0.294 x16
Sm: 0.000 0.500 0.250 x4
Er: 0.000 0.000 0.000 x2

=====

# 3
Below is a relaxed RbThAu2 crystal, with properties calculated at the PBE level.

Results
Energy relative to the elements, eV per atom: -0.412
Uncorrected energy, eV/atom: -4.148

Unit cell a=3.835 b=3.835 c=8.456 alpha=90.00 beta=90.00 gamma=90.00
Space group P4/mmm (No. 123)
Symmetry-distinct sites (fractional):
Rb: 0.000 0.000 0.000 x1
Th: 0.000 0.000 0.500 x1
Au: 0.500 0.500 0.319 x2